Below is a geometry-optimized KBaV3Cd2O11 structure, with properties calculated at the GGA+U level.

Unit cell a=10.811 b=7.136 c=18.116 alpha=90.00 beta=121.79 gamma=90.00
Space group P2_1/c (No. 14)
Unique sites:
K: 0.028 0.064 0.150 (multiplicity 4)
Ba: 0.224 0.038 0.536 (multiplicity 4)
V: 0.181 0.537 0.218 (multiplicity 4)
V: 0.270 0.533 0.562 (multiplicity 4)
V: 0.348 0.653 0.863 (multiplicity 4)
Cd: 0.384 0.165 0.921 (multiplicity 4)
Cd: 0.472 0.229 0.256 (multiplicity 4)
O: 0.041 0.505 0.114 (multiplicity 4)
O: 0.125 0.679 0.525 (multiplicity 4)
O: 0.177 0.738 0.768 (multiplicity 4)
O: 0.187 0.145 0.781 (multiplicity 4)
O: 0.239 0.106 0.975 (multiplicity 4)
O: 0.275 0.125 0.138 (multiplicity 4)
O: 0.318 0.024 0.416 (multiplicity 4)
O: 0.341 0.530 0.216 (multiplicity 4)
O: 0.427 0.682 0.606 (multiplicity 4)
O: 0.428 0.662 0.433 (multiplicity 4)
O: 0.461 0.579 0.828 (multiplicity 4)

**Total magnetization**: 0.00 μB/atom
**Raw total energy**: -6.489 eV/atom